Record 1
Material: YTm3Zn4
Method: DFT, PBE
State: optimized geometry

a b c (Å): 4.9891 7.1043 9.9811
angles (deg): 90.00 90.00 90.00
Closest atoms and distances in Å follow each position.
Sites, in units of the cell vectors:
Zn (0.9993, 0.2455, 0.2500)  6 Tm 3.04-3.08, 2 Y 3.08
Zn (0.5000, 0.7545, 0.5000)  6 Tm 3.04-3.08, 2 Y 3.08
Zn (0.0007, 0.7545, 0.7500)  6 Tm 3.04-3.08, 2 Y 3.08
Zn (0.5000, 0.2455, 0.5000)  6 Tm 3.04-3.08, 2 Y 3.08
Zn (0.9993, 0.7545, 0.2500)  6 Tm 3.04-3.08, 2 Y 3.08
Zn (0.5000, 0.2455, 0.0000)  6 Tm 3.04-3.08, 2 Y 3.08
Zn (0.0007, 0.2455, 0.7500)  6 Tm 3.04-3.08, 2 Y 3.08
Zn (0.5000, 0.7545, 0.0000)  6 Tm 3.04-3.08, 2 Y 3.08
Tm (0.5005, 0.0000, 0.7500)  8 Zn 3.04
Tm (0.5005, 0.5000, 0.7500)  8 Zn 3.08
Tm (0.4995, 0.5000, 0.2500)  8 Zn 3.08
Tm (0.0000, 0.0000, 0.0000)  8 Zn 3.04
Tm (0.4995, 0.0000, 0.2500)  8 Zn 3.04
Tm (0.0000, 0.0000, 0.5000)  8 Zn 3.04
Y (0.0000, 0.5000, 0.5000)  8 Zn 3.08
Y (0.0000, 0.5000, 0.0000)  8 Zn 3.08

Summary:
Its calculated volume is 22.11 A^3/atom. Its symmetry is P4/mmm (123). As for the energy relative to the elements: -354 meV per atom.

***

Record 2
Material: Pm2Dy3Tl4
Method: DFT, PBE
State: optimized geometry

a b c (Å): 7.1982 9.1814 9.0024
angles (deg): 90.00 113.57 90.00
Closest atoms and distances in Å follow each position.
Sites, in units of the cell vectors:
Dy (0.9645, 0.2500, 0.4291)  5 Tl 3.06-3.26
Dy (0.4645, 0.2500, 0.4291)  5 Tl 3.06-3.26
Dy (0.0000, 0.0000, 0.0000)  6 Tl 2.96-3.10
Dy (0.0355, 0.7500, 0.5709)  5 Tl 3.06-3.26
Dy (0.5000, 0.5000, 0.0000)  6 Tl 2.96-3.10
Dy (0.5355, 0.7500, 0.5709)  5 Tl 3.06-3.26
Tl (0.7210, 0.7500, 0.9419)  3 Dy 2.96-3.06
Tl (0.6865, 0.5411, 0.3730)  5 Dy 3.10-3.26
Tl (0.8135, 0.0411, 0.6270)  5 Dy 3.10-3.26
Tl (0.3135, 0.4589, 0.6270)  5 Dy 3.10-3.26
Tl (0.1865, 0.9589, 0.3730)  5 Dy 3.10-3.26
Tl (0.7790, 0.2500, 0.0581)  3 Dy 2.96-3.06
Tl (0.2210, 0.7500, 0.9419)  3 Dy 2.96-3.06
Tl (0.2790, 0.2500, 0.0581)  3 Dy 2.96-3.06
Pm (0.8904, 0.4239, 0.7808)  3 Tl 3.32-3.53
Pm (0.1096, 0.5761, 0.2192)  3 Tl 3.32-3.53
Pm (0.3904, 0.0761, 0.7808)  3 Tl 3.32-3.53
Pm (0.6096, 0.9239, 0.2192)  3 Tl 3.32-3.53

Summary:
Its calculated volume is 30.30 A^3/atom. Its symmetry is Cmce (64). As for the energy relative to the elements: -236 meV per atom. As for the polymorph energy (0 for the lowest one): 58 kJ/mol of formula units.

***

Record 3
Material: K2PdF8
Method: DFT, PBE
State: optimized geometry

a b c (Å): 5.1168 6.8590 6.8590
angles (deg): 71.41 70.16 70.16
Closest atoms and distances in Å follow each position.
Sites, in units of the cell vectors:
F (0.2469, 0.7147, 0.0521)  1 Pd 1.93
F (0.2197, 0.1022, 0.1022)  1 Pd 1.91
F (0.7803, 0.8978, 0.8978)  1 Pd 1.91
F (0.7531, 0.9479, 0.2853)  1 Pd 1.93
F (0.7531, 0.2853, 0.9479)  1 Pd 1.93
F (0.6954, 0.4316, 0.4316)  1 F 1.94
F (0.2469, 0.0521, 0.7147)  1 Pd 1.93
F (0.3046, 0.5684, 0.5684)  1 F 1.94
K (0.6903, 0.6771, 0.6771)  8 F 2.68-2.86
K (0.3097, 0.3229, 0.3229)  8 F 2.68-2.86
Pd (0.0000, 0.0000, 0.0000)  6 F 1.91-1.93

Summary:
As for the formation energy from raw total energies: -1.671 eV per atom. Its calculated volume is 18.84 A^3/atom. Its symmetry is C2/m (12).